## Ho6InSi2Te3 (PBE)

Data for Ho6InSi2Te3 after structural relaxation.

Values from the calculation:
E: -5.173 eV/atom
Formation energy from raw total energies: -0.97 eV/atom
SG: C2/m, No. 12
DOS(E_F): 5.6 states/eV/f.u.

Cell and atoms, written as CIF:
```
data_Ho6InSi2Te3
_cell_length_a 9.6359
_cell_length_b 9.6359
_cell_length_c 8.7119
_cell_angle_alpha 104.82
_cell_angle_beta 104.82
_cell_angle_gamma 25.23
_space_group_name_H-M_alt 'P 1'
_space_group_IT_number 1
_space_group_name_Hall 'P 1'
loop_
_atom_site_label
_atom_site_type_symbol
_atom_site_fract_x
_atom_site_fract_y
_atom_site_fract_z
Ho1 Ho 0.0092 0.0092 0.2564
Ho2 Ho 0.3250 0.3250 0.4368
Ho3 Ho 0.3313 0.3313 0.8929
Ho4 Ho 0.6687 0.6687 0.1071
Ho5 Ho 0.6750 0.6750 0.5632
Ho6 Ho 0.9908 0.9908 0.7436
In1 In 0.5000 0.5000 0.0000
Si1 Si 0.1669 0.1669 0.3326
Si2 Si 0.8331 0.8331 0.6674
Te1 Te 0.1642 0.1642 0.8303
Te2 Te 0.5000 0.5000 0.5000
Te3 Te 0.8358 0.8358 0.1697
```